# 1
La3Nd2Ho8 | GGA-PBE | relaxed

Calculated values
V = 33.0 Å³/atom
magnetic moment = 0.000 μB per formula unit
formation energy = 0.03 eV per atom

CIF file:
```
data_La3Nd2Ho8
_chemical_formula_sum 'La3 Nd2 Ho8'
_symmetry_space_group_name_H-M 'P 1'
_symmetry_Int_Tables_number 1
_cell_length_a 6.2363
_cell_length_b 6.2533
_cell_length_c 11.3692
_cell_angle_alpha 89.83
_cell_angle_beta 79.29
_cell_angle_gamma 80.33
loop_
_symmetry_equiv_pos_as_xyz
'x,y,z'
loop_
_atom_site_label
_atom_site_type_symbol
_atom_site_fract_x
_atom_site_fract_y
_atom_site_fract_z
La1 La 0.0000 0.0000 0.0000
La2 La 0.2276 0.4617 0.0783
La3 La 0.7724 0.5383 0.9217
Nd1 Nd 0.3848 0.7689 0.4622
Nd2 Nd 0.6152 0.2311 0.5378
Ho1 Ho 0.0768 0.1516 0.6897
Ho2 Ho 0.1531 0.3073 0.3861
Ho3 Ho 0.3080 0.6134 0.7653
Ho4 Ho 0.4634 0.9248 0.1577
Ho5 Ho 0.5366 0.0752 0.8423
Ho6 Ho 0.6920 0.3866 0.2347
Ho7 Ho 0.8469 0.6927 0.6139
Ho8 Ho 0.9232 0.8484 0.3103
```

---

# 2
YTc2AsPd | GGA-PBE | relaxed

Calculated values
V = 21.6 Å³/atom
magnetic moment = 0.000 μB per formula unit
formation energy = 0.59 eV per atom

CIF file:
```
data_YTc2AsPd
_chemical_formula_sum 'Y1 Tc2 As1 Pd1'
_symmetry_space_group_name_H-M 'P 1'
_symmetry_Int_Tables_number 1
_cell_length_a 4.5347
_cell_length_b 4.5347
_cell_length_c 5.2408
_cell_angle_alpha 90.00
_cell_angle_beta 90.00
_cell_angle_gamma 90.00
loop_
_symmetry_equiv_pos_as_xyz
'x,y,z'
loop_
_atom_site_label
_atom_site_type_symbol
_atom_site_fract_x
_atom_site_fract_y
_atom_site_fract_z
Y1 Y 0.0000 0.0000 0.0000
Tc1 Tc 0.0000 0.5000 0.5000
Tc2 Tc 0.5000 0.0000 0.5000
As1 As 0.0000 0.0000 0.5000
Pd1 Pd 0.5000 0.5000 0.0000
```

---

> What is the magnetic moment in the second record?

0.000 μB per formula unit

---

> Which value of magnetic moment does entry 1 give?

0.000 μB per formula unit

---

> What is the magnetic moment in the first record?

0.000 μB per formula unit

---

> The lowest formation energy belongs to which entry?

La3Nd2Ho8